The following is a PBE calculation of BC3 after structural relaxation, from Alexandria via LeMat-Bulk.

a = 13.609 Å, b = 2.504 Å, c = 4.590 Å
α = 90.00°, β = 108.20°, γ = 90.00°
Space group Cm (No. 8)
One atom of each set of equivalent atoms:
B (0.000, 0.000, 0.000) [2 per cell]
B (0.059, 0.500, 0.274) [2 per cell]
B (0.339, 0.500, 0.179) [2 per cell]
C (0.008, 0.500, 0.547) [2 per cell]
C (0.053, 0.000, 0.732) [2 per cell]
C (0.175, 0.000, 0.862) [2 per cell]
C (0.182, 0.500, 0.372) [2 per cell]
C (0.214, 0.500, 0.064) [2 per cell]
C (0.220, 0.000, 0.570) [2 per cell]
C (0.342, 0.000, 0.692) [2 per cell]
C (0.379, 0.500, 0.886) [2 per cell]
C (0.390, 0.000, 0.430) [2 per cell]

Properties
- DFT formation energy (meV per atom) = 305
- ΔE to the lowest computed polymorph (eV per atom) = 0.064



The following is a PBE calculation of Cu2Mo after structural relaxation, from Alexandria via LeMat-Bulk.

a = 5.9914 Å, b = 5.9914 Å, c = 4.2518 Å
α = 90.00°, β = 90.00°, γ = 120.00°
Space group P-62m (No. 189)
One atom of each set of equivalent atoms:
Cu (0.0000, 0.2285, 0.0000) [3 per cell]
Cu (0.0000, 0.4697, 0.5000) [3 per cell]
Mo (0.0000, 0.0000, 0.5000) [1 per cell]
Mo (0.3333, 0.6667, 0.0000) [2 per cell]

Properties
- DFT formation energy (meV per atom) = 810